Entry 1:
A plane-wave DFT calculation with PBE was carried out for an optimized crystal structure of Pa2NbNiS5.

Raw formation energy   -123 kJ per mole of atoms

Lattice parameters (Å, degrees): 7.939 7.939 11.360 90.00 90.00 153.25
Fractional positions:
Pa 0.116 0.884 0.500
Pa 0.123 0.877 0.851
Pa 0.877 0.123 0.351
Pa 0.884 0.116 0.000
Nb 0.185 0.815 0.171
Nb 0.815 0.185 0.671
Ni 0.436 0.564 0.582
Ni 0.564 0.436 0.082
S 0.018 0.982 0.175
S 0.302 0.698 0.511
S 0.307 0.693 0.827
S 0.349 0.651 0.174
S 0.498 0.502 0.909
S 0.502 0.498 0.409
S 0.651 0.349 0.674
S 0.693 0.307 0.327
S 0.698 0.302 0.011
S 0.982 0.018 0.675


Entry 2:
A plane-wave DFT calculation with PBE was carried out for an optimized crystal structure of PaTiNbNi.

Energy relative to the elements   -80.0 meV/atom

Lattice parameters (Å, degrees): 4.658 4.658 4.658 60.00 60.00 60.00
Fractional positions:
Pa 0.000 0.000 0.000
Ti 0.500 0.500 0.500
Nb 0.250 0.250 0.250
Ni 0.750 0.750 0.750


Entry 3:
A plane-wave DFT calculation with PBE was carried out for an optimized crystal structure of ZrPaNbNi.

Energy relative to the elements   -57.0 meV/atom

Lattice parameters (Å, degrees): 4.791 4.791 4.791 60.00 60.00 60.00
Fractional positions:
Zr 0.000 0.000 0.000
Pa 0.500 0.500 0.500
Nb 0.250 0.250 0.250
Ni 0.750 0.750 0.750


Entry 4:
A plane-wave DFT calculation with PBE was carried out for an optimized crystal structure of NbNi2Pb.

Energy relative to the elements   454.2 meV/atom

Lattice parameters (Å, degrees): 5.729 5.729 5.729 104.15 104.15 120.73
Fractional positions:
Nb 0.000 0.000 0.000
Nb 0.750 0.250 0.500
Ni 0.105 0.125 0.480
Ni 0.375 0.895 0.020
Ni 0.645 0.625 0.520
Ni 0.875 0.355 0.980
Pb 0.250 0.750 0.500
Pb 0.500 0.500 0.000


Entry 5:
A plane-wave DFT calculation with PBE was carried out for an optimized crystal structure of NbNiPb3.

ΔE to the lowest computed polymorph   0.167 eV per atom
Energy relative to the elements   1054.4 meV/atom

Lattice parameters (Å, degrees): 5.489 5.489 5.489 90.00 90.00 90.00
Fractional positions:
Nb 0.000 0.000 0.000
Ni 0.500 0.500 0.500
Pb 0.000 0.000 0.500
Pb 0.000 0.500 0.000
Pb 0.500 0.000 0.000


Entry 6:
A plane-wave DFT calculation with PBE was carried out for an optimized crystal structure of NbNiPb3.

ΔE to the lowest computed polymorph   0.000 eV per atom
Energy relative to the elements   887.1 meV/atom

Lattice parameters (Å, degrees): 5.057 5.057 5.057 90.00 90.00 90.00
Fractional positions:
Nb 0.000 0.000 0.000
Ni 0.500 0.500 0.500
Pb 0.000 0.500 0.500
Pb 0.500 0.000 0.500
Pb 0.500 0.500 0.000


Entry 7:
A plane-wave DFT calculation with PBE was carried out for an optimized crystal structure of NbNiPbW2.

Energy relative to the elements   1221.8 meV/atom

Lattice parameters (Å, degrees): 4.572 4.572 4.649 90.00 90.00 90.00
Fractional positions:
Nb 0.000 0.000 0.000
Ni 0.000 0.000 0.500
Pb 0.500 0.500 0.000
W 0.000 0.500 0.500
W 0.500 0.000 0.500


Entry 8:
A plane-wave DFT calculation with PBE was carried out for an optimized crystal structure of NbNi2PbW.

Energy relative to the elements   2021.6 meV/atom

Lattice parameters (Å, degrees): 4.538 4.538 5.183 90.00 90.00 90.00
Fractional positions:
Nb 0.000 0.000 0.000
Ni 0.000 0.500 0.500
Ni 0.500 0.000 0.500
Pb 0.000 0.000 0.500
W 0.500 0.500 0.000


Number 1: magnetic moment 0.0000 μB per atom, final energy -133.928 eV per cell. Number 2: magnetic moment 0.0000 μB per atom, final energy -33.562 eV per cell. Number 3: magnetic moment 0.0000 μB per atom, final energy -34.123 eV per cell. Number 4: magnetic moment 0.0000 μB per atom, final energy -47.048 eV per cell. Number 5: magnetic moment 0.0000 μB per atom, final energy -21.704 eV per cell. Number 6: magnetic moment 0.0000 μB per atom, final energy -22.540 eV per cell. Number 7: magnetic moment 0.0000 μB per atom, final energy -39.357 eV per cell. Number 8: magnetic moment 0.1879 μB per atom, final energy -28.186 eV per cell.